# KLuPdS3

A relaxed structure of KLuPdS3 (PBE, the Open Quantum Materials Database).

Computed properties:
The distance to the lowest polymorph of the same formula is 6 meV/atom. The value obtained for the spin magnetization is 0.00 μB per formula unit.

Cell: 14.3342 3.9512 10.5664 Å, 90.00 90.00 90.00°
With the nearest neighbours (Å) after each atom.
Fractional coordinates of all 24 atoms:
K 0.2354 0.2500 0.0478  6 S 3.14-3.45
K 0.2646 0.7500 0.5478  6 S 3.14-3.45
K 0.7354 0.2500 0.4522  6 S 3.14-3.45
K 0.7646 0.7500 0.9522  6 S 3.14-3.45
Lu 0.0186 0.2500 0.3461  6 S 2.63-2.77
Lu 0.4814 0.7500 0.8461  6 S 2.63-2.77
Lu 0.5186 0.2500 0.1539  6 S 2.63-2.77
Lu 0.9814 0.7500 0.6539  6 S 2.63-2.77
Pd 0.0024 0.2500 0.9107  4 S 2.33-2.59
Pd 0.4976 0.7500 0.4107  4 S 2.33-2.59
Pd 0.5024 0.2500 0.5893  4 S 2.33-2.59
Pd 0.9976 0.7500 0.0893  4 S 2.33-2.59
S 0.0851 0.7500 0.8748  3 Pd 2.33-2.59
S 0.0954 0.2500 0.5718  3 Lu 2.63-2.71
S 0.1241 0.7500 0.2495  1 Pd 2.48, 2 Lu 2.69
S 0.3759 0.2500 0.7495  1 Pd 2.48, 2 Lu 2.69
S 0.4046 0.7500 0.0718  3 Lu 2.63-2.71
S 0.4149 0.2500 0.3748  3 Pd 2.33-2.59
S 0.5851 0.7500 0.6252  3 Pd 2.33-2.59
S 0.5954 0.2500 0.9282  3 Lu 2.63-2.71
S 0.6241 0.7500 0.2505  1 Pd 2.48, 2 Lu 2.69
S 0.8759 0.2500 0.7505  1 Pd 2.48, 2 Lu 2.69
S 0.9046 0.7500 0.4282  3 Lu 2.63-2.71
S 0.9149 0.2500 0.1252  3 Pd 2.33-2.59